## Zr2TaPb (PBE-GGA)

Data for an optimized crystal structure of Zr2TaPb.

```
Zr2TaPb
1.0
3.678 0.000 0.000
0.000 3.678 0.000
0.000 0.000 6.455
Zr Ta Pb
2 1 1
direct
0.000 0.000 0.000
0.500 0.500 0.261
0.500 0.500 0.766
0.000 0.000 0.519
```

Computed properties:
DFT formation energy ... 0.07 eV per atom

---

## Zr2TaPb (PBE-GGA)

Data for an optimized crystal structure of Zr2TaPb.

```
Zr2TaPb
1.0
1.620 0.935 10.017
-1.620 0.935 10.017
0.000 -1.871 10.017
Zr Ta Pb
2 1 1
direct
0.000 0.000 0.000
0.248 0.248 0.248
0.502 0.502 0.502
0.754 0.754 0.754
```

Computed properties:
DFT formation energy ... 0.23 eV per atom

---

The lowest DFT formation energy belongs to which entry? number 1